(1)
This record from Alexandria describes a relaxed MnCr3In crystal. The functional is PBE-GGA.

Lattice parameters (Å, degrees): 4.318 4.318 4.318 90.00 90.00 90.00
Atoms (fractional coordinates):
Mn  0.000  0.000  0.000
Cr  0.000  0.000  0.500
Cr  0.000  0.500  0.000
Cr  0.500  0.000  0.000
In  0.500  0.500  0.500

(2)
This record from Alexandria describes a relaxed MnCr2In crystal. The functional is PBE-GGA.

Lattice parameters (Å, degrees): 2.978 2.978 6.887 90.00 90.00 90.00
Atoms (fractional coordinates):
Mn  0.000  0.000  0.000
Cr  0.500  0.500  0.208
Cr  0.500  0.500  0.792
In  0.000  0.000  0.500

(3)
This record from Alexandria describes a relaxed MnCr2In crystal. The functional is PBE-GGA.

Lattice parameters (Å, degrees): 4.950 4.950 4.950 142.42 126.51 67.21
Atoms (fractional coordinates):
Mn  0.000  0.000  0.000
Cr  0.550  0.550  0.000
Cr  0.761  0.261  0.500
In  0.274  0.774  0.500

(4)
This record from Alexandria describes a relaxed Mn2CrIn crystal. The functional is PBE-GGA.

Lattice parameters (Å, degrees): 8.529 8.529 8.529 19.91 19.91 19.91
Atoms (fractional coordinates):
Mn  0.000  0.000  0.000
Mn  0.259  0.259  0.259
Cr  0.736  0.736  0.736
In  0.498  0.498  0.498

(5)
This record from Alexandria describes a relaxed MnCr2In crystal. The functional is PBE-GGA.

Lattice parameters (Å, degrees): 2.763 2.763 8.204 90.00 90.00 110.71
Atoms (fractional coordinates):
Mn  0.000  0.000  0.000
Cr  0.000  0.000  0.430
Cr  0.500  0.500  0.221
In  0.500  0.500  0.716

(6)
This record from Alexandria describes a relaxed MnCr2In crystal. The functional is PBE-GGA.

Lattice parameters (Å, degrees): 5.026 5.026 2.644 98.85 98.85 117.90
Atoms (fractional coordinates):
Mn  0.000  0.000  0.000
Cr  0.000  0.500  0.500
Cr  0.500  0.000  0.500
In  0.500  0.500  0.000

no.,density of states at the Fermi level (states/eV per atom),magnetic moment (μB per formula unit),formation enthalpy at 0 K (meV/atom)
1,1.10,3.89,922
2,0.63,2.90,264
3,0.80,2.94,352
4,0.74,3.30,427
5,0.76,2.78,413
6,1.01,2.02,534